Model i:
Entry from Alexandria: a relaxed structure of RbC2Se2 (GGA-PBE).

a = 6.447 Å, b = 6.447 Å, c = 6.447 Å
α = 143.51°, β = 143.51°, γ = 52.56°
Fractional coordinates of all 5 atoms:
Rb 0.000 0.000 0.000
C 0.250 0.750 0.500
C 0.750 0.250 0.500
Se 0.312 0.312 0.000
Se 0.688 0.688 0.000


Model ii:
Entry from Alexandria: a relaxed structure of RbC2Se2 (GGA-PBE).

a = 8.786 Å, b = 8.786 Å, c = 3.252 Å
α = 90.00°, β = 90.00°, γ = 90.00°
Fractional coordinates of all 10 atoms:
Rb 0.000 0.000 0.000
Rb 0.500 0.500 0.000
C 0.055 0.445 0.500
C 0.445 0.945 0.500
C 0.555 0.055 0.500
C 0.945 0.555 0.500
Se 0.138 0.638 0.000
Se 0.362 0.138 0.000
Se 0.638 0.862 0.000
Se 0.862 0.362 0.000


If we sort the structures by their calculated energies, the order from most to least stable is model i, model ii.